Al3BAs after structural relaxation, computed with PBE-GGA.

Geometry as CIF:
```
data_Al3BAs
_space_group_name_H-M_alt 'P m -3 m'
_space_group_IT_number 221
_space_group_name_Hall '-P 4 2 3'
_cell_length_a 4.256
_cell_length_b 4.256
_cell_length_c 4.256
_cell_angle_alpha 90.00
_cell_angle_beta 90.00
_cell_angle_gamma 90.00
loop_
_atom_site_label
_atom_site_type_symbol
_atom_site_fract_x
_atom_site_fract_y
_atom_site_fract_z
Al1 Al 0.000 0.000 0.500
B1 B 0.000 0.000 0.000
As1 As 0.500 0.500 0.500
```

Size of the total moment, μB per formula unit: 0.00
Volume, Å³/cell: 77.1
Energy relative to the elements, eV/atom: 0.11

ZrAlSe after structural relaxation, computed with PBE-GGA.

Geometry as CIF:
```
data_ZrAlSe
_space_group_name_H-M_alt 'P -6 m 2'
_space_group_IT_number 187
_space_group_name_Hall 'P -6 2'
_cell_length_a 4.5666
_cell_length_b 4.5666
_cell_length_c 3.2504
_cell_angle_alpha 90.00
_cell_angle_beta 90.00
_cell_angle_gamma 120.00
loop_
_atom_site_label
_atom_site_type_symbol
_atom_site_fract_x
_atom_site_fract_y
_atom_site_fract_z
Zr1 Zr 0.0000 0.0000 0.0000
Al1 Al 0.6667 0.3333 0.5000
Se1 Se 0.3333 0.6667 0.5000
```

Size of the total moment, μB per formula unit: 0.00
Volume, Å³/cell: 58.7
Calculated total energy, eV/atom: -5.51